# 1
{
  "formula": "HfMg2Pd",
  "functional": "PBE-GGA",
  "state": "relaxed",
  "space_group": "R-3m",
  "e_form_ev_per_atom": -0.008,
  "magmom_total_mub_per_cell": 0.00,
  "lattice": [[-2.655, -0.665, -1.266], [-0.913, -2.869, -0.169], [-5.779, -0.257, 8.661]],
  "species": ["Mg", "Mg", "Hf", "Pd"],
  "fractional_positions": [[0.099, 0.099, 0.704], [0.901, 0.901, 0.296], [0.000, 0.000, 0.000], [0.500, 0.500, 0.500]]
}

***

# 2
{
  "formula": "Cs3Tl2Pb4",
  "functional": "PBE-GGA",
  "state": "relaxed",
  "space_group": "P-1",
  "e_form_ev_per_atom": -0.090,
  "magmom_total_mub_per_cell": 0.00,
  "lattice": [[5.519, -0.005, -0.003], [2.754, 7.371, -0.072], [2.760, 2.770, 9.736]],
  "species": ["Cs", "Cs", "Cs", "Tl", "Tl", "Pb", "Pb", "Pb", "Pb"],
  "fractional_positions": [[0.618, 0.127, 0.643], [0.000, 0.000, 0.000], [0.382, 0.873, 0.357], [0.709, 0.313, 0.254], [0.291, 0.687, 0.746], [0.290, 0.374, 0.044], [0.925, 0.520, 0.652], [0.075, 0.480, 0.348], [0.710, 0.626, 0.956]]
}

***

# 3
{
  "formula": "PmY2MgC",
  "functional": "PBE-GGA",
  "state": "relaxed",
  "space_group": "P4/mmm",
  "e_form_ev_per_atom": -0.167,
  "magmom_total_mub_per_cell": 0.00,
  "lattice": [[-2.542, 1.128, -4.421], [-1.265, -4.764, -0.488], [-4.139, 0.833, 2.592]],
  "species": ["Pm", "Y", "Y", "Mg", "C"],
  "fractional_positions": [[0.500, 0.000, 0.000], [0.000, 0.000, 0.500], [0.000, 0.500, 0.000], [0.500, 0.500, 0.500], [0.000, 0.000, 0.000]]
}

***

# 4
{
  "formula": "Ge2SbS3",
  "functional": "PBE-GGA",
  "state": "relaxed",
  "space_group": "P2_1/m",
  "raw_formation_energy_ev_per_atom": -0.1583,
  "magmom_total_mub_per_cell": 0.00,
  "lattice": [[-3.270, -0.478, -1.362], [-2.555, -2.486, 7.004], [-2.614, 10.411, 2.619]],
  "species": ["Ge", "Ge", "Ge", "Ge", "Sb", "Sb", "S", "S", "S", "S", "S", "S"],
  "fractional_positions": [[0.250, 0.508, 0.870], [0.750, 0.492, 0.130], [0.750, 0.144, 0.449], [0.250, 0.856, 0.551], [0.250, 0.734, 0.300], [0.750, 0.266, 0.700], [0.750, 0.947, 0.251], [0.250, 0.053, 0.749], [0.750, 0.680, 0.958], [0.250, 0.320, 0.042], [0.250, 0.311, 0.384], [0.750, 0.689, 0.616]]
}